The following is a PBE calculation of a geometry-optimized Er8Hg2Ru structure, from Alexandria.

Structure (extended XYZ):
```
11
Lattice="8.690 -2.614 0.000 8.690 2.614 0.000 -2.256 0.000 6.454" Properties=species:S:1:pos:R:3 pbc="T T T"
Er -0.254 0.000 1.863
Er 1.629 0.000 5.132
Er 4.789 0.000 3.514
Er 6.950 0.000 0.485
Er 8.174 0.000 5.970
Er 10.335 0.000 2.941
Er 13.496 0.000 1.323
Er 15.379 0.000 4.591
Hg 2.712 0.000 1.366
Hg 12.413 0.000 5.089
Ru 7.562 0.000 3.227
```

Results
- space-group type = No. 12
- energy (eV per formula unit) = -49.52


The following is a PBE calculation of a geometry-optimized Er4HgRu structure, from Alexandria.

Structure (extended XYZ):
```
12
Lattice="7.555 0.000 0.000 0.000 6.840 0.000 -0.019 0.000 6.622" Properties=species:S:1:pos:R:3 pbc="T T T"
Er 1.032 1.025 2.251
Er 1.023 2.395 5.562
Er 2.262 4.421 2.416
Er 2.252 5.839 5.727
Er 5.283 1.001 0.895
Er 5.274 2.419 4.206
Er 6.513 4.445 1.060
Er 6.504 5.815 4.371
Hg 3.768 0.000 3.311
Hg 3.777 3.420 0.000
Ru 0.000 0.000 0.000
Ru -0.010 3.420 3.311
```

Results
- space-group type = No. 14
- relative energy among the computed polymorphs (meV per atom) = 153


The total magnetization results, record by record, are as follows: 0.0 0.0 μB per formula unit.
The density results, record by record, are as follows: 10.4 9.4 g/cm³.